P | NdErZn2Sn2 | PBE-GGA | optimized geometry

Calculated values
- Symmetry: No. 194

a = 4.555 Å, b = 4.555 Å, c = 15.918 Å
α = 90.00°, β = 90.00°, γ = 120.00°
Fractional positions:
Zn1 0.333 0.667 0.655
Zn2 0.333 0.667 0.845
Zn3 0.667 0.333 0.155
Zn4 0.667 0.333 0.345
Sn1 0.333 0.667 0.390
Sn2 0.667 0.333 0.610
Sn3 0.333 0.667 0.110
Sn4 0.667 0.333 0.890
Nd1 0.000 0.000 0.750
Nd2 0.000 0.000 0.250
Er1 0.000 0.000 0.500
Er2 0.000 0.000 0.000

---

Q | NdErZn2Sn2 | PBE-GGA | optimized geometry

Calculated values
- Symmetry: No. 194

a = 4.526 Å, b = 4.526 Å, c = 16.070 Å
α = 90.00°, β = 90.00°, γ = 120.00°
Fractional positions:
Er1 0.000 0.000 0.250
Er2 0.000 0.000 0.750
Sn1 0.667 0.333 0.618
Sn2 0.333 0.667 0.118
Sn3 0.667 0.333 0.882
Sn4 0.333 0.667 0.382
Zn1 0.333 0.667 0.838
Zn2 0.667 0.333 0.338
Zn3 0.333 0.667 0.662
Zn4 0.667 0.333 0.162
Nd1 0.000 0.000 0.000
Nd2 0.000 0.000 0.500

---

Structures ranked by computed energy, the most stable listed first: Q, P.

---

P | ErNiOs | PBE-GGA | optimized geometry

Calculated values
- Symmetry: No. 216

a = 4.292 Å, b = 4.292 Å, c = 4.292 Å
α = 60.00°, β = 60.00°, γ = 60.00°
Fractional positions:
Ni1 0.000 0.000 0.000
Os1 0.750 0.750 0.750
Er1 0.250 0.250 0.250

---

Q | ErNiOs | PBE-GGA | optimized geometry

Calculated values
- Symmetry: No. 216

a = 4.384 Å, b = 4.384 Å, c = 4.384 Å
α = 60.00°, β = 60.00°, γ = 60.00°
Fractional positions:
Ni1 0.250 0.250 0.250
Os1 0.750 0.750 0.750
Er1 0.000 0.000 0.000

---

Structures ranked by computed energy, the most stable listed first: P, Q.

---

P | Er2NiPd | PBE-GGA | optimized geometry

Calculated values
- Symmetry: No. 31

a = 4.395 Å, b = 6.936 Å, c = 5.430 Å
α = 90.00°, β = 90.00°, γ = 90.00°
Fractional positions:
Er1 0.000 0.072 0.361
Er2 0.500 0.928 0.861
Er3 0.500 0.434 0.637
Er4 0.000 0.566 0.137
Ni1 0.500 0.290 0.144
Ni2 0.000 0.710 0.644
Pd1 0.500 0.791 0.359
Pd2 0.000 0.209 0.859

---

Q | Er2NiPd | PBE-GGA | optimized geometry

Calculated values
- Symmetry: No. 11

a = 5.415 Å, b = 4.405 Å, c = 6.897 Å
α = 90.00°, β = 90.87°, γ = 90.00°
Fractional positions:
Er1 0.361 0.250 0.827
Er2 0.639 0.750 0.173
Er3 0.861 0.750 0.692
Er4 0.139 0.250 0.308
Pd1 0.654 0.250 0.457
Pd2 0.346 0.750 0.543
Ni1 0.132 0.750 0.036
Ni2 0.868 0.250 0.964

---

Structures ranked by computed energy, the most stable listed first: Q, P.

---

P | ErReNi | PBE-GGA | optimized geometry

Calculated values
- Symmetry: No. 216

a = 4.453 Å, b = 4.453 Å, c = 4.453 Å
α = 60.00°, β = 60.00°, γ = 60.00°
Fractional positions:
Ni1 0.250 0.250 0.250
Er1 0.000 0.000 0.000
Re1 0.750 0.750 0.750

---

Q | ErReNi | PBE-GGA | optimized geometry

Calculated values
- Symmetry: No. 216

a = 4.309 Å, b = 4.309 Å, c = 4.309 Å
α = 60.00°, β = 60.00°, γ = 60.00°
Fractional positions:
Er1 0.250 0.250 0.250
Re1 0.750 0.750 0.750
Ni1 0.000 0.000 0.000

---

Structures ranked by computed energy, the most stable listed first: Q, P.

---

P | Er3Sc3NiTe2 | PBE-GGA | optimized geometry

Calculated values
- Symmetry: No. 189

a = 8.131 Å, b = 8.131 Å, c = 3.745 Å
α = 90.00°, β = 90.00°, γ = 120.00°
Fractional positions:
Sc1 0.401 0.000 0.000
Sc2 0.599 0.599 0.000
Sc3 0.000 0.401 0.000
Er1 0.000 0.757 0.500
Er2 0.243 0.243 0.500
Er3 0.757 0.000 0.500
Ni1 0.000 0.000 0.000
Te1 0.333 0.667 0.500
Te2 0.667 0.333 0.500

---

Q | Er3Sc3NiTe2 | PBE-GGA | optimized geometry

Calculated values
- Symmetry: No. 189

a = 7.967 Å, b = 7.967 Å, c = 3.895 Å
α = 90.00°, β = 90.00°, γ = 120.00°
Fractional positions:
Sc1 0.232 0.232 0.500
Sc2 0.000 0.768 0.500
Sc3 0.768 0.000 0.500
Ni1 0.000 0.000 0.000
Te1 0.667 0.333 0.500
Te2 0.333 0.667 0.500
Er1 0.609 0.609 0.000
Er2 0.391 0.000 0.000
Er3 0.000 0.391 0.000

---

Structures ranked by computed energy, the most stable listed first: Q, P.

---

P | Er2SiNi | PBE-GGA | optimized geometry

Calculated values
- Symmetry: No. 31

a = 4.088 Å, b = 7.179 Å, c = 5.573 Å
α = 90.00°, β = 90.00°, γ = 90.00°
Fractional positions:
Ni1 0.500 0.780 0.116
Ni2 0.000 0.220 0.616
Er1 0.000 0.586 0.372
Er2 0.500 0.414 0.872
Er3 0.000 0.059 0.139
Er4 0.500 0.941 0.639
Si1 0.500 0.292 0.373
Si2 0.000 0.708 0.873

---

Q | Er2SiNi | PBE-GGA | optimized geometry

Calculated values
- Symmetry: No. 11

a = 5.545 Å, b = 3.822 Å, c = 7.717 Å
α = 90.00°, β = 91.19°, γ = 90.00°
Fractional positions:
Er1 0.376 0.250 0.667
Er2 0.123 0.250 0.194
Er3 0.624 0.750 0.333
Er4 0.877 0.750 0.806
Si1 0.370 0.750 0.963
Si2 0.630 0.250 0.037
Ni1 0.124 0.750 0.466
Ni2 0.876 0.250 0.534

---

Structures ranked by computed energy, the most stable listed first: P, Q.

---

P | ErTaNi | PBE-GGA | optimized geometry

Calculated values
- Symmetry: No. 216

a = 4.482 Å, b = 4.482 Å, c = 4.482 Å
α = 60.00°, β = 60.00°, γ = 60.00°
Fractional positions:
Er1 0.000 0.000 0.000
Ni1 0.250 0.250 0.250
Ta1 0.750 0.750 0.750

---

Q | ErTaNi | PBE-GGA | optimized geometry

Calculated values
- Symmetry: No. 216

a = 4.421 Å, b = 4.421 Å, c = 4.421 Å
α = 60.00°, β = 60.00°, γ = 60.00°
Fractional positions:
Er1 0.250 0.250 0.250
Ni1 0.000 0.000 0.000
Ta1 0.750 0.750 0.750

---

Structures ranked by computed energy, the most stable listed first: Q, P.

---

P | Er5NiTe3 | PBE-GGA | optimized geometry

Calculated values
- Symmetry: No. 189

a = 8.201 Å, b = 8.201 Å, c = 4.010 Å
α = 90.00°, β = 90.00°, γ = 120.00°
Fractional positions:
Er1 0.671 0.000 0.000
Er2 0.667 0.333 0.500
Er3 0.333 0.667 0.500
Er4 0.329 0.329 0.000
Er5 0.000 0.671 0.000
Te1 0.000 0.265 0.500
Te2 0.735 0.735 0.500
Te3 0.265 0.000 0.500
Ni1 0.000 0.000 0.000

---

Q | Er5NiTe3 | PBE-GGA | optimized geometry

Calculated values
- Symmetry: No. 189

a = 8.499 Å, b = 8.499 Å, c = 3.763 Å
α = 90.00°, β = 90.00°, γ = 120.00°
Fractional positions:
Er1 0.333 0.667 0.500
Er2 0.773 0.773 0.500
Er3 0.000 0.227 0.500
Er4 0.667 0.333 0.500
Er5 0.227 0.000 0.500
Te1 0.584 0.000 0.000
Te2 0.000 0.584 0.000
Te3 0.416 0.416 0.000
Ni1 0.000 0.000 0.000

---

Structures ranked by computed energy, the most stable listed first: Q, P.

---

P | ErTlNiTe3 | PBE-GGA | optimized geometry

Calculated values
- Symmetry: No. 62

a = 12.575 Å, b = 4.223 Å, c = 12.673 Å
α = 90.00°, β = 90.00°, γ = 90.00°
Fractional positions:
Te1 0.968 0.000 0.141
Te2 0.219 0.500 0.219
Te3 0.532 0.500 0.641
Te4 0.781 0.000 0.781
Te5 0.902 0.500 0.564
Te6 0.098 0.000 0.436
Te7 0.598 0.000 0.064
Te8 0.468 0.000 0.359
Te9 0.032 0.500 0.859
Te10 0.402 0.500 0.936
Te11 0.281 0.000 0.719
Te12 0.719 0.500 0.281
Er1 0.035 0.000 0.690
Er2 0.535 0.000 0.810
Er3 0.965 0.500 0.310
Er4 0.465 0.500 0.190
Ni1 0.231 0.500 0.820
Ni2 0.769 0.000 0.180
Ni3 0.731 0.500 0.680
Ni4 0.269 0.000 0.320
Tl1 0.194 0.000 0.997
Tl2 0.694 0.000 0.503
Tl3 0.806 0.500 0.003
Tl4 0.306 0.500 0.497

---

Q | ErTlNiTe3 | PBE-GGA | optimized geometry

Calculated values
- Symmetry: No. 11

a = 9.775 Å, b = 4.169 Å, c = 9.966 Å
α = 90.00°, β = 111.13°, γ = 90.00°
Fractional positions:
Tl1 0.285 0.750 0.264
Tl2 0.715 0.250 0.736
Er1 0.820 0.750 0.355
Er2 0.180 0.250 0.645
Ni1 0.596 0.250 0.108
Ni2 0.404 0.750 0.892
Te1 0.321 0.250 0.983
Te2 0.679 0.750 0.017
Te3 0.034 0.250 0.320
Te4 0.595 0.250 0.362
Te5 0.966 0.750 0.680
Te6 0.405 0.750 0.638

---

R | ErTlNiTe3 | PBE-GGA | optimized geometry

Calculated values
- Symmetry: No. 63

a = 4.119 Å, b = 8.319 Å, c = 10.897 Å
α = 90.00°, β = 90.00°, γ = 75.67°
Fractional positions:
Te1 0.076 0.847 0.750
Te2 0.372 0.257 0.578
Te3 0.628 0.743 0.078
Te4 0.628 0.743 0.422
Te5 0.372 0.257 0.922
Te6 0.924 0.153 0.250
Tl1 0.749 0.502 0.750
Tl2 0.251 0.498 0.250
Er1 0.000 0.000 0.500
Er2 0.000 0.000 0.000
Ni1 0.479 0.042 0.750
Ni2 0.521 0.958 0.250

---

Structures ranked by computed energy, the most stable listed first: Q, R, P.

---

P | Y2Er2Tm3Ni2Te2 | PBE-GGA | optimized geometry

Calculated values
- Symmetry: No. 44

a = 9.310 Å, b = 9.310 Å, c = 9.310 Å
α = 156.21°, β = 66.94°, γ = 118.47°
Fractional positions:
Y1 0.892 0.746 0.146
Y2 0.599 0.746 0.854
Ni1 0.146 0.407 0.740
Ni2 0.667 0.407 0.260
Tm1 0.977 0.477 0.500
Tm2 0.261 0.894 0.367
Tm3 0.527 0.894 0.633
Te1 0.242 0.242 0.000
Te2 0.639 0.139 0.500
Er1 0.912 0.097 0.815
Er2 0.282 0.097 0.185

---

Q | Y2Er2Tm3Ni2Te2 | PBE-GGA | optimized geometry

Calculated values
- Symmetry: No. 44

a = 9.303 Å, b = 9.303 Å, c = 9.303 Å
α = 156.27°, β = 67.20°, γ = 118.17°
Fractional positions:
Tm1 0.475 0.475 0.000
Tm2 0.102 0.748 0.353
Tm3 0.395 0.748 0.647
Er1 0.762 0.895 0.867
Er2 0.028 0.895 0.133
Te1 0.742 0.242 0.500
Te2 0.141 0.141 0.000
Ni1 0.164 0.402 0.762
Ni2 0.640 0.402 0.238
Y1 0.413 0.098 0.315
Y2 0.783 0.098 0.685

---

Structures ranked by computed energy, the most stable listed first: P, Q.

---

P | Y2Er2Tm3Ni2Te2 | PBE-GGA | optimized geometry

Calculated values
- Symmetry: No. 44

a = 9.308 Å, b = 9.308 Å, c = 9.308 Å
α = 156.24°, β = 67.00°, γ = 118.39°
Fractional positions:
Ni1 0.144 0.406 0.739
Ni2 0.667 0.406 0.261
Tm1 0.912 0.097 0.816
Tm2 0.281 0.097 0.184
Tm3 0.977 0.477 0.500
Y1 0.892 0.746 0.146
Y2 0.599 0.746 0.854
Te1 0.641 0.141 0.500
Te2 0.241 0.241 0.000
Er1 0.527 0.895 0.632
Er2 0.263 0.895 0.368

---

Q | Y2Er2Tm3Ni2Te2 | PBE-GGA | optimized geometry

Calculated values
- Symmetry: No. 44

a = 9.308 Å, b = 9.308 Å, c = 9.308 Å
α = 156.27°, β = 67.07°, γ = 118.31°
Fractional positions:
Er1 0.394 0.748 0.647
Er2 0.101 0.748 0.353
Y1 0.783 0.098 0.684
Y2 0.414 0.098 0.316
Te1 0.140 0.140 0.000
Te2 0.743 0.243 0.500
Tm1 0.762 0.895 0.867
Tm2 0.028 0.895 0.133
Tm3 0.476 0.476 0.000
Ni1 0.164 0.403 0.761
Ni2 0.642 0.403 0.239

---

Structures ranked by computed energy, the most stable listed first: P, Q.